1.
Below is PrDy3Er7 after structural relaxation, with properties calculated at the PBE level.

excess energy over the best structure of this formula in the dataset = 2.547 kcal/mol of atoms
mass density = 8.392 Mg/m³
formation energy from the elements = 0.26 eV/atom
V = 712 Å³/cell
magnetic moment = 0.00 Bohr magnetons per cell
density of states at the Fermi level = 1.51 states/eV per atom

abc: 12.4961 11.1354 5.7633
angles: 90.00 117.39 90.00
Closest atoms and distances in Å follow each position.
Space group C2/m (No. 12)
Symmetry-distinct sites (fractional):
Pr: 0.0000 0.0000 0.0000 x2  2 Er 2.88
Dy: 0.0000 0.2935 0.5000 x4  5 Er 3.24-3.41
Dy: 0.0000 0.5000 0.0000 x2  4 Er 3.17
Er: 0.0000 0.0000 0.5000 x2  2 Pr 2.88
Er: 0.2053 0.5000 0.7047 x4  2 Dy 3.24, 1 Pr 3.27, 6 Er 3.55-3.60
Er: 0.2094 0.3069 0.2092 x8  2 Dy 3.17-3.41, 2 Er 3.27-3.28

---

2.
Below is Pr4Dy2Er3 after structural relaxation, with properties calculated at the PBE level.

excess energy over the best structure of this formula in the dataset = 0.000 kcal/mol of atoms
mass density = 7.698 Mg/m³
formation energy from the elements = 0.05 eV/atom
V = 600 Å³/cell
magnetic moment = 0.00 Bohr magnetons per cell
density of states at the Fermi level = 1.43 states/eV per atom

abc: 7.1237 8.5512 10.4381
angles: 99.12 100.27 101.78
Closest atoms and distances in Å follow each position.
Space group P-1 (No. 2)
Symmetry-distinct sites (fractional):
Pr: 0.0228 0.1635 0.4438 x2  2 Pr 3.18-3.54, 3 Dy 3.38-3.51, 1 Er 3.55
Pr: 0.1415 0.8281 0.2360 x2  6 Er 3.54-3.74, 3 Dy 3.55-3.80, 4 Pr 3.65-3.79
Pr: 0.3240 0.4754 0.3346 x2  4 Er 3.39-3.73, 4 Pr 3.54-3.80, 4 Dy 3.56-3.75
Pr: 0.4430 0.1643 0.1092 x2  5 Er 3.44-3.80, 4 Dy 3.54-3.64, 3 Pr 3.60-3.79
Dy: 0.0594 0.8337 0.8915 x2  7 Pr 3.45-3.80, 2 Dy 3.60-3.68, 3 Er 3.64-3.85
Dy: 0.1754 0.5239 0.6633 x2  7 Pr 3.38-3.79, 3 Er 3.48-3.71, 2 Dy 3.60-3.76
Er: 0.2505 0.5000 0.9981 x2  3 Dy 3.48-3.70, 5 Pr 3.50-3.74, 4 Er 3.55-3.73
Er: 0.3622 0.1754 0.7606 x2  7 Pr 3.54-3.80, 4 Er 3.64-3.73, 2 Dy 3.71-3.85
Er: 0.4753 0.8360 0.5555 x2  1 Er 3.18, 4 Pr 3.39-3.55, 1 Dy 3.53

---

3.
Below is Pr3Dy3Er after structural relaxation, with properties calculated at the PBE level.

mass density = 7.419 Mg/m³
formation energy from the elements = 0.25 eV/atom
V = 1447 Å³/cell
magnetic moment = 0.01 Bohr magnetons per cell
density of states at the Fermi level = 1.49 states/eV per atom

abc: 8.7270 8.7270 21.9389
angles: 90.00 90.00 120.00
Closest atoms and distances in Å follow each position.
Space group R-3 (No. 148, hexagonal axes)
Symmetry-distinct sites (fractional):
Pr: 0.0044 0.2428 0.0590 x18  3 Dy 3.27-3.42, 4 Pr 3.33-3.64, 1 Er 3.50
Dy: 0.0565 0.4502 0.8801 x18  3 Pr 3.27-3.42, 2 Dy 3.66
Er: 0.0000 0.0000 0.3483 x6  6 Pr 3.50-3.78, 6 Dy 3.69-3.80

---

4.
Below is PrDy9Er2 after structural relaxation, with properties calculated at the PBE level.

excess energy over the best structure of this formula in the dataset = 0.293 kcal/mol of atoms
mass density = 8.407 Mg/m³
formation energy from the elements = 0.04 eV/atom
V = 383 Å³/cell
magnetic moment = 0.00 Bohr magnetons per cell
density of states at the Fermi level = 1.29 states/eV per atom

abc: 11.2217 11.2217 3.5100
angles: 90.00 90.00 120.00
Closest atoms and distances in Å follow each position.
Space group P6/mmm (No. 191)
Symmetry-distinct sites (fractional):
Pr: 0.0000 0.0000 0.0000 x1  2 Pr 3.51, 12 Dy 3.89
Dy: 0.0000 0.5000 0.0000 x3  2 Er 3.24, 10 Dy 3.51-3.59
Dy: 0.1787 0.3573 0.5000 x6  8 Dy 3.47-3.59, 2 Er 3.48
Er: 0.3333 0.6667 0.0000 x2  9 Dy 3.24-3.48, 2 Er 3.51

---

5.
Below is Pr2Dy5Er4 after structural relaxation, with properties calculated at the PBE level.

excess energy over the best structure of this formula in the dataset = 1.168 kcal/mol of atoms
mass density = 7.990 Mg/m³
formation energy from the elements = 0.20 eV/atom
V = 733 Å³/cell
magnetic moment = 0.00 Bohr magnetons per cell
density of states at the Fermi level = 1.23 states/eV per atom

abc: 3.4789 11.4710 18.3658
angles: 90.00 90.00 90.00
Closest atoms and distances in Å follow each position.
Space group Immm (No. 71)
Symmetry-distinct sites (fractional):
Pr: 0.0000 0.0000 0.2034 x4  6 Dy 3.34-3.70, 2 Pr 3.48
Dy: 0.0000 0.2884 0.1773 x8  3 Er 3.26-3.39, 4 Dy 3.31-3.48, 1 Pr 3.34
Dy: 0.0000 0.5000 0.5000 x2  2 Dy 3.48, 4 Er 3.62
Er: 0.0000 0.0000 0.4105 x4  7 Er 3.29-3.51, 4 Dy 3.39
Er: 0.0000 0.2764 0.0000 x4  4 Dy 3.26-3.62, 6 Er 3.48-3.51

---

6.
Below is PrDy7Er3 after structural relaxation, with properties calculated at the PBE level.

excess energy over the best structure of this formula in the dataset = 0.000 kcal/mol of atoms
mass density = 8.290 Mg/m³
formation energy from the elements = 0.14 eV/atom
V = 357 Å³/cell
magnetic moment = 0.00 Bohr magnetons per cell
density of states at the Fermi level = 1.50 states/eV per atom

abc: 6.9354 5.5368 9.8516
angles: 90.00 109.51 90.00
Closest atoms and distances in Å follow each position.
Space group P2/m (No. 10)
Symmetry-distinct sites (fractional):
Pr: 0.0000 0.0000 0.0000 x1  2 Er 3.47, 10 Dy 3.56-3.80
Dy: 0.0000 0.0000 0.5000 x1  4 Er 3.37, 2 Dy 3.77
Dy: 0.1471 0.5000 0.7898 x2  3 Dy 3.28-3.56, 2 Er 3.30-3.32
Dy: 0.3270 0.5000 0.1434 x2  5 Dy 3.28-3.56, 3 Er 3.50-3.61, 2 Pr 3.56
Dy: 0.4255 0.0000 0.3322 x2  3 Dy 3.12-3.28, 1 Er 3.48
Er: 0.2766 0.5000 0.4963 x2  1 Er 3.08, 4 Dy 3.30-3.37
Er: 0.5000 0.0000 0.0000 x1  2 Pr 3.47, 10 Dy 3.48-3.82

---

7.
Below is PrDy4Er7 after structural relaxation, with properties calculated at the PBE level.

excess energy over the best structure of this formula in the dataset = 0.000 kcal/mol of atoms
mass density = 8.675 Mg/m³
formation energy from the elements = 0.00 eV/atom
V = 376 Å³/cell
magnetic moment = 0.03 Bohr magnetons per cell
density of states at the Fermi level = 1.34 states/eV per atom

abc: 6.1739 7.1304 8.7751
angles: 90.00 103.57 90.01
Closest atoms and distances in Å follow each position.
Space group P-1 (No. 2)
Symmetry-distinct sites (fractional):
Pr: 0.0000 0.0000 0.0000 x1  10 Er 3.52-3.57, 2 Dy 3.53
Dy: 0.2215 0.5005 0.6660 x2  8 Er 3.49-3.57, 4 Dy 3.49-3.56
Dy: 0.2789 0.2507 0.3360 x2  8 Er 3.48-3.58, 3 Dy 3.49-3.56, 1 Pr 3.53
Er: 0.0000 0.5000 0.0000 x1  4 Dy 3.51-3.53, 6 Er 3.52-3.57, 2 Pr 3.57
Er: 0.2225 0.0003 0.6653 x2  5 Dy 3.48-3.57, 6 Er 3.49-3.57, 1 Pr 3.52
Er: 0.2788 0.7488 0.3354 x2  6 Dy 3.48-3.58, 5 Er 3.49-3.57, 1 Pr 3.53
Er: 0.5004 0.2504 0.0000 x2  3 Dy 3.51-3.53, 7 Er 3.52-3.57, 2 Pr 3.56-3.57

---

8.
Below is Pr3Dy3Er5 after structural relaxation, with properties calculated at the PBE level.

mass density = 6.623 Mg/m³
formation energy from the elements = 0.81 eV/atom
V = 438 Å³/cell
magnetic moment = 0.00 Bohr magnetons per cell
density of states at the Fermi level = 1.46 states/eV per atom

abc: 9.6385 9.6385 5.4424
angles: 90.00 90.00 120.00
Closest atoms and distances in Å follow each position.
Space group P-62m (No. 189)
Symmetry-distinct sites (fractional):
Pr: 0.0000 0.3656 0.0000 x3  4 Er 3.07-3.16, 2 Dy 3.21
Dy: 0.0000 0.5423 0.5000 x3  2 Pr 3.21, 2 Er 3.28
Er: 0.0000 0.7327 0.0000 x3  2 Pr 3.16, 2 Dy 3.28
Er: 0.3333 0.6667 0.0000 x2  3 Pr 3.07